[1]
Compound: Sr2AsP2
Source: Alexandria via LeMat-Bulk
Functional: SCAN
Structure: single point on PBEsol structure

Unit cell a=4.2804 b=7.3955 c=7.3955 alpha=90.00 beta=90.00 gamma=90.00
Fractional positions:
Sr  0.5000  0.3129  0.1871
Sr  0.5000  0.1871  0.6871
Sr  0.5000  0.6871  0.8129
Sr  0.5000  0.8129  0.3129
As  0.0000  0.0000  0.0000
As  0.0000  0.5000  0.5000
P  0.0000  0.3952  0.8952
P  0.0000  0.1048  0.3952
P  0.0000  0.8952  0.6048
P  0.0000  0.6048  0.1048

Computed properties:
As for the density of states at the Fermi level: 3.54 states/eV/f.u. The formation energy is -19.49 kcal/mol of atoms. For the total moment, the calculation gives 0.00 μB per formula unit.



[2]
Compound: Pm2ZnOs
Source: Alexandria via LeMat-Bulk
Functional: SCAN
Structure: single point on PBEsol structure

Unit cell a=4.9567 b=4.9567 c=4.9567 alpha=60.00 beta=60.00 gamma=60.00
Fractional positions:
Os  0.5000  0.5000  0.5000
Zn  0.0000  0.0000  0.0000
Pm  0.7500  0.7500  0.7500
Pm  0.2500  0.2500  0.2500

Computed properties:
As for the density of states at the Fermi level: 2.51 states/eV/f.u. The formation energy is -6.15 kcal/mol of atoms. For the total moment, the calculation gives 0.00 μB per formula unit.



[3]
Compound: Mn2AgRh
Source: Alexandria via LeMat-Bulk
Functional: SCAN
Structure: single point on PBEsol structure

Unit cell a=2.8240 b=4.5415 c=4.8313 alpha=100.94 beta=90.00 gamma=108.11
Fractional positions:
Mn  0.2554  0.5107  0.2634
Mn  0.7446  0.4893  0.7366
Ag  0.5000  0.0000  0.0000
Rh  0.0000  0.0000  0.5000

Computed properties:
As for the density of states at the Fermi level: 2.87 states/eV/f.u. The formation energy is -1.61 kcal/mol of atoms. For the total moment, the calculation gives 8.64 μB per formula unit.



[4]
Compound: LiZn2Re
Source: Alexandria via LeMat-Bulk
Functional: SCAN
Structure: single point on PBEsol structure

Unit cell a=3.8418 b=3.8418 c=4.5144 alpha=115.18 beta=115.18 gamma=90.00
Fractional positions:
Zn  0.7500  0.2500  0.5000
Re  0.0000  0.0000  0.0000
Zn  0.2500  0.7500  0.5000
Li  0.5000  0.5000  0.0000

Computed properties:
As for the density of states at the Fermi level: 2.65 states/eV/f.u. The formation energy is 6.77 kcal/mol of atoms. Its excess energy over the best structure of this formula in the dataset is 0.286 eV per atom. For the total moment, the calculation gives 0.00 μB per formula unit.



[5]
Compound: MnCoMo2Rh
Source: Alexandria via LeMat-Bulk
Functional: SCAN
Structure: single point on PBEsol structure

Unit cell a=4.3143 b=4.3143 c=4.3376 alpha=90.00 beta=90.00 gamma=90.00
Fractional positions:
Mn  0.0000  0.0000  0.0000
Mo  0.5000  0.0000  0.0000
Co  0.5000  0.5000  0.5000
Mo  0.0000  0.5000  0.0000
Rh  0.0000  0.0000  0.5000

Computed properties:
As for the density of states at the Fermi level: 4.06 states/eV/f.u. The formation energy is 28.70 kcal/mol of atoms. For the total moment, the calculation gives 1.93 μB per formula unit.



[6]
Compound: Fe3NiN
Source: Alexandria via LeMat-Bulk
Functional: SCAN
Structure: single point on PBEsol structure

Unit cell a=3.6898 b=3.6898 c=3.6898 alpha=90.00 beta=90.00 gamma=90.00
Fractional positions:
N  0.5000  0.5000  0.5000
Fe  0.5000  0.5000  0.0000
Fe  0.0000  0.5000  0.5000
Ni  0.0000  0.0000  0.0000
Fe  0.5000  0.0000  0.5000

Computed properties:
As for the density of states at the Fermi level: 3.27 states/eV/f.u. The uncorrected formation energy is -0.116 eV per atom. For the total moment, the calculation gives 8.52 μB per formula unit.



[7]
Compound: RbMoPO6
Source: Alexandria via LeMat-Bulk
Functional: SCAN
Structure: single point on PBEsol structure

Unit cell a=8.3307 b=8.3307 c=9.6252 alpha=112.42 beta=112.42 gamma=96.82
Fractional positions:
Rb  0.0449  0.5449  0.5000
O  0.9350  0.3192  0.1483
O  0.5692  0.6850  0.6483
Rb  0.4551  0.9551  0.5000
Mo  0.9708  0.0292  0.5000
P  0.8820  0.3820  0.7640
O  0.8048  0.4788  0.6594
O  0.0791  0.9633  0.6483
O  0.4306  0.6046  0.1594
Mo  0.5292  0.4708  0.5000
Rb  0.2051  0.2051  0.0000
Rb  0.7949  0.7949  0.0000
O  0.3954  0.5694  0.8406
O  0.4452  0.2712  0.8406
O  0.4557  0.3454  0.6145
O  0.7309  0.8412  0.3855
O  0.0367  0.9209  0.3517
O  0.7288  0.5548  0.1594
P  0.3680  0.3680  0.7360
O  0.6808  0.0650  0.8517
O  0.1588  0.2691  0.6145
O  0.6546  0.5443  0.3855
O  0.8194  0.1454  0.3406
O  0.5191  0.9088  0.1145
O  0.1709  0.7867  0.8517
O  0.7943  0.4046  0.8855
O  0.8546  0.1806  0.6594
O  0.5212  0.1952  0.3406
P  0.6180  0.1180  0.2360
Mo  0.7208  0.2792  0.0000
O  0.5954  0.2057  0.1145
O  0.3150  0.4308  0.3517
O  0.0912  0.4809  0.8855
P  0.6320  0.6320  0.2640
O  0.2133  0.8291  0.1483
Mo  0.2792  0.7208  0.0000

Computed properties:
As for the density of states at the Fermi level: 0.00 states/eV/f.u. The uncorrected formation energy is -2.366 eV per atom. For the total moment, the calculation gives 0.00 μB per formula unit.



[8]
Compound: CdFeCo3
Source: Alexandria via LeMat-Bulk
Functional: SCAN
Structure: single point on PBEsol structure

Unit cell a=4.5236 b=4.5236 c=4.5236 alpha=90.00 beta=90.00 gamma=90.00
Fractional positions:
Co  0.0000  0.0000  0.5000
Fe  0.5000  0.5000  0.5000
Co  0.5000  0.0000  0.0000
Cd  0.0000  0.0000  0.0000
Co  0.0000  0.5000  0.0000

Computed properties:
As for the density of states at the Fermi level: 3.94 states/eV/f.u. The formation energy is 42.77 kcal/mol of atoms. For the total moment, the calculation gives 9.13 μB per formula unit.



[9]
Compound: Ge2Sb2I
Source: Alexandria via LeMat-Bulk
Functional: SCAN
Structure: single point on PBEsol structure

Unit cell a=4.3723 b=4.3723 c=7.8103 alpha=106.25 beta=106.25 gamma=90.00
Fractional positions:
I  0.0000  0.0000  0.0000
Ge  0.2500  0.7500  0.5000
Ge  0.7500  0.2500  0.5000
Sb  0.6272  0.6272  0.2544
Sb  0.3728  0.3728  0.7456

Computed properties:
As for the density of states at the Fermi level: 1.35 states/eV/f.u. The uncorrected formation energy is 0.097 eV per atom. For the total moment, the calculation gives 0.00 μB per formula unit.



[10]
Compound: CdGeNO2
Source: Alexandria via LeMat-Bulk
Functional: SCAN
Structure: single point on PBEsol structure

Unit cell a=4.0971 b=4.1284 c=4.1284 alpha=90.00 beta=90.00 gamma=90.00
Fractional positions:
O  0.0000  0.5000  0.0000
Cd  0.0000  0.0000  0.0000
N  0.5000  0.0000  0.0000
Ge  0.5000  0.5000  0.5000
O  0.0000  0.0000  0.5000

Computed properties:
As for the density of states at the Fermi level: 2.21 states/eV/f.u. The uncorrected formation energy is 0.810 eV per atom. For the total moment, the calculation gives 1.90 μB per formula unit.



[11]
Compound: YTlAs2
Source: Alexandria via LeMat-Bulk
Functional: SCAN
Structure: single point on PBEsol structure

Unit cell a=4.0671 b=4.0657 c=5.9128 alpha=90.00 beta=90.14 gamma=90.00
Fractional positions:
As  0.5000  0.5000  0.5000
Tl  0.5000  0.5000  0.0000
Y  0.0000  0.0000  0.5000
As  0.0000  0.0000  0.0000

Computed properties:
As for the density of states at the Fermi level: 1.95 states/eV/f.u. The formation energy is -15.85 kcal/mol of atoms. Its excess energy over the best structure of this formula in the dataset is 0.000 eV per atom. For the total moment, the calculation gives 0.00 μB per formula unit.



[12]
Compound: Be2FeRu
Source: Alexandria via LeMat-Bulk
Functional: SCAN
Structure: single point on PBEsol structure

Unit cell a=2.8798 b=3.7194 c=3.7194 alpha=90.00 beta=90.00 gamma=90.00
Fractional positions:
Ru  0.5000  0.0000  0.0000
Be  0.0000  0.5000  0.0000
Be  0.0000  0.0000  0.5000
Fe  0.5000  0.5000  0.5000

Computed properties:
As for the density of states at the Fermi level: 1.92 states/eV/f.u. The formation energy is -6.94 kcal/mol of atoms. For the total moment, the calculation gives 3.15 μB per formula unit.



What is the formula in the tenth record?
CdGeNO2



What is the total moment in the fourth record?
0.00 μB per formula unit